[1]
Here is a geometry-optimized KReAg2Cl structure from Alexandria. Energies are from PBE.

Values from the calculation:
- Calculated volume: 29.16 A^3/atom
- Uncorrected energy: -14.81 eV per cell
- Total moment: 4.4 μB/cell
- SG: P4/mmm

a = 5.1513 Å, b = 5.4948 Å, c = 5.1513 Å
α = 90.00°, β = 90.00°, γ = 90.00°
With the nearest neighbours (Å) after each atom.
Fractional coordinates of all 5 atoms:
Ag  0.0000  0.0000  0.5000  2 Cl 2.58
Ag  0.5000  0.0000  0.0000  2 Cl 2.58
Re  0.5000  0.5000  0.5000  4 K 3.64, 8 Ag 3.77
Cl  0.0000  0.0000  0.0000  4 Ag 2.58, 2 K 2.75
K  0.0000  0.5000  0.0000  2 Cl 2.75

***

[2]
Here is a geometry-optimized KAg2RuCl8 structure from Alexandria. Energies are from PBE.

Values from the calculation:
- Calculated volume: 27.95 A^3/atom
- Uncorrected energy: -38.98 eV per cell
- Total moment: 2.8 μB/cell
- SG: P-1

a = 6.3968 Å, b = 7.2651 Å, c = 8.4571 Å
α = 94.55°, β = 87.20°, γ = 121.13°
With the nearest neighbours (Å) after each atom.
Fractional coordinates of all 12 atoms:
Ru  0.0000  0.0000  0.0000  6 Cl 2.33-2.36
Cl  0.4271  0.2202  0.0308  1 Ru 2.36, 1 Ag 2.56
Cl  0.9497  0.2067  0.2062  1 Ru 2.33
Cl  0.4405  0.7072  0.4867  2 Ag 2.49-2.69
Cl  0.5595  0.2928  0.5133  2 Ag 2.49-2.69
Cl  0.0503  0.7933  0.7938  1 Ru 2.33
Cl  0.0207  0.2419  0.8241  1 Ru 2.34
Ag  0.5057  0.5215  0.7272  3 Cl 2.49-2.69
K  0.0000  0.0000  0.5000  6 Cl 3.08-3.11
Cl  0.9793  0.7581  0.1759  1 Ru 2.34
Ag  0.4943  0.4785  0.2728  3 Cl 2.49-2.69
Cl  0.5729  0.7798  0.9692  1 Ru 2.36, 1 Ag 2.56

***

[3]
Here is a geometry-optimized KAg2RuCl structure from Alexandria. Energies are from PBE.

Values from the calculation:
- Calculated volume: 32.11 A^3/atom
- Uncorrected energy: -11.24 eV per cell
- Total moment: 2.4 μB/cell
- SG: P4/mmm

a = 5.5344 Å, b = 5.2425 Å, c = 5.5344 Å
α = 90.00°, β = 90.00°, γ = 90.00°
With the nearest neighbours (Å) after each atom.
Fractional coordinates of all 5 atoms:
Cl  0.0000  0.5000  0.0000  2 K 2.62
K  0.0000  0.0000  0.0000  2 Cl 2.62, 4 Ag 2.77
Ag  0.5000  0.0000  0.0000  2 K 2.77
Ru  0.5000  0.5000  0.5000  8 Ag 3.81, 4 Cl 3.91
Ag  0.0000  0.0000  0.5000  2 K 2.77

***

[4]
Here is a geometry-optimized KAgS2Cl structure from Alexandria. Energies are from PBE.

Values from the calculation:
- Energy above the most stable polymorph in this dataset: 4.50 eV per formula unit
- Calculated volume: 38.19 A^3/atom
- Uncorrected energy: -10.59 eV per cell
- Total moment: 3.0 μB/cell
- SG: P4/mmm

a = 5.8121 Å, b = 5.8121 Å, c = 5.6521 Å
α = 90.00°, β = 90.00°, γ = 90.00°
With the nearest neighbours (Å) after each atom.
Fractional coordinates of all 5 atoms:
K  0.0000  0.0000  0.0000  2 Cl 2.83, 4 S 2.91
S  0.5000  0.0000  0.0000  2 K 2.91
S  0.0000  0.5000  0.0000  2 K 2.91
Ag  0.5000  0.5000  0.5000  8 S 4.05, 4 Cl 4.11
Cl  0.0000  0.0000  0.5000  2 K 2.83

***

[5]
Here is a geometry-optimized KAgS2Cl structure from Alexandria. Energies are from PBE.

Values from the calculation:
- Energy above the most stable polymorph in this dataset: 0.00 eV per formula unit
- Calculated volume: 26.17 A^3/atom
- Uncorrected energy: -15.09 eV per cell
- Total moment: 1.1 μB/cell
- SG: P4/mmm

a = 4.8488 Å, b = 4.8488 Å, c = 5.5645 Å
α = 90.00°, β = 90.00°, γ = 90.00°
With the nearest neighbours (Å) after each atom.
Fractional coordinates of all 5 atoms:
Cl  0.0000  0.0000  0.5000  2 Ag 2.78
Ag  0.0000  0.0000  0.0000  4 S 2.42
S  0.5000  0.0000  0.0000  2 Ag 2.42
S  0.0000  0.5000  0.0000  2 Ag 2.42
K  0.5000  0.5000  0.5000  4 Cl 3.43, 8 S 3.69

***

[6]
Here is a geometry-optimized KAgSbCl6 structure from Alexandria. Energies are from PBE.

Values from the calculation:
- Calculated volume: 32.00 A^3/atom
- Uncorrected energy: -27.65 eV per cell
- Total moment: 0.5 μB/cell
- SG: P312

a = 6.7736 Å, b = 7.0071 Å, c = 7.0071 Å
α = 120.00°, β = 90.00°, γ = 90.00°
With the nearest neighbours (Å) after each atom.
Fractional coordinates of all 9 atoms:
Cl  0.2825  0.3088  0.2858  1 Sb 2.56, 1 Ag 2.78
Cl  0.7175  0.7142  0.6912  1 Sb 2.56, 1 Ag 2.78
Cl  0.7175  0.9770  0.2858  1 Sb 2.56, 1 Ag 2.78
Cl  0.2825  0.7142  0.0230  1 Sb 2.56, 1 Ag 2.78
K  0.0000  0.3333  0.6667  6 Cl 3.22
Cl  0.7175  0.3088  0.0230  1 Sb 2.56, 1 Ag 2.78
Ag  0.5000  0.6667  0.3333  6 Cl 2.78
Cl  0.2825  0.9770  0.6912  1 Sb 2.56, 1 Ag 2.78
Sb  0.5000  0.0000  0.0000  6 Cl 2.56

***

What DOS(E_F) values result from the calculations? In sequence: 3.36 9.58 5.01 3.77 6.72 5.49 states/eV/f.u..
What energy relative to the elements, uncorrected values result from the calculations? In sequence: 1.2574 -0.6776 1.3369 0.6920 -0.2079 -0.9443 eV per atom.